Entry 1:
{"formula": "CoMoCl2", "functional": "PBE-GGA", "state": "optimized geometry", "lattice_angstrom": [[7.142, 2.318, -0.345], [4.057, 6.318, 0.345], [-4.917, -5.203, 2.291]], "species": ["Co", "Cl", "Cl", "Mo"], "frac_coords": [[0.750, 0.250, 0.500], [0.389, 0.389, 0.000], [0.111, 0.111, 0.000], [0.250, 0.750, 0.500]], "dft_energy_ev_per_atom": -5.319, "space_group": "No. 71", "relative_energy_mev_per_atom": 273.8, "e_form_raw_ev_per_atom": 0.09, "total_magnetization_mub_per_cell": 1.35}

=====

Entry 2:
{"formula": "TaMnP2Cl", "functional": "PBE-GGA", "state": "optimized geometry", "lattice_angstrom": [[-1.492, 2.390, 3.307], [-2.347, -3.383, 1.386], [3.438, -1.350, 2.527]], "species": ["Mn", "Ta", "Cl", "P", "P"], "frac_coords": [[0.000, 0.000, 0.000], [0.500, 0.500, 0.500], [0.000, 0.000, 0.500], [0.000, 0.500, 0.000], [0.500, 0.000, 0.000]], "dft_energy_ev_per_atom": -5.915, "space_group": "No. 123", "relative_energy_mev_per_atom": 528.6, "e_form_raw_ev_per_atom": 0.82, "total_magnetization_mub_per_cell": 0.00}